VASP calculation (PBE+U) on crystalline Li4CuNi3P4O16 at its relaxed geometry.

Computed properties:
total energy	-6.26	eV/atom

The structure in POSCAR format:
```
Li4CuNi3P4O16
1.0
-0.578 1.888 5.650
-4.569 0.956 -0.787
-2.587 -9.336 2.855
O P Ni Cu Li
16 4 3 1 4
Cartesian
-4.759 -2.084 3.379
-3.884 -6.197 6.171
-6.027 -6.707 4.794
-1.818 0.777 2.724
-5.385 -5.104 2.440
-1.458 -0.687 0.081
-2.282 -1.592 4.772
-2.660 -5.354 1.517
-3.863 -0.475 1.069
-5.703 -8.206 2.158
-4.825 -3.447 0.658
-5.729 -3.982 5.799
-2.566 -4.023 4.252
-3.642 -6.988 3.805
-2.044 -2.368 2.449
-4.203 0.635 4.392
-5.738 -4.665 0.971
-1.683 -2.773 3.924
-2.926 -0.327 -0.190
-4.547 -7.091 5.074
-4.229 -6.806 1.841
-3.236 -0.650 3.056
-0.795 -2.549 0.770
-6.498 -4.839 4.122
-3.040 -7.881 7.084
-3.701 -3.737 2.439
-2.750 -8.829 4.248
-3.993 -2.784 5.292
```